This record from OQMD via LeMat-Bulk describes SrMgNiGe after structural relaxation. The functional is GGA-PBE.

Lattice parameters (Å, degrees): 6.767 6.767 6.767 90.00 90.00 90.00
Fractional coordinates of all 16 atoms:
1 Sr 0.000 0.000 0.000
2 Sr 0.000 0.500 0.500
3 Sr 0.500 0.000 0.500
4 Sr 0.500 0.500 0.000
5 Mg 0.250 0.250 0.250
6 Mg 0.250 0.750 0.750
7 Mg 0.750 0.250 0.750
8 Mg 0.750 0.750 0.250
9 Ni 0.250 0.250 0.750
10 Ni 0.250 0.750 0.250
11 Ni 0.750 0.250 0.250
12 Ni 0.750 0.750 0.750
13 Ge 0.000 0.000 0.500
14 Ge 0.000 0.500 0.000
15 Ge 0.500 0.000 0.000
16 Ge 0.500 0.500 0.500

Computed properties:
Its total energy is -0.123 hartree per atom. As for the space group: No. 216.